# 1
Compound: PmPaAlSi
Source: Alexandria via LeMat-Bulk
Functional: PBE
Structure: relaxed

a b c (Å): 5.0830 5.0830 5.0830
angles (deg): 60.00 60.00 60.00
With the nearest neighbours (Å) after each atom.
Sites, in units of the cell vectors:
Pm 0.0000 0.0000 0.0000  4 Si 3.11, 4 Al 3.11
Pa 0.5000 0.5000 0.5000  4 Si 3.11, 4 Al 3.11
Al 0.2500 0.2500 0.2500  4 Pa 3.11, 4 Pm 3.11
Si 0.7500 0.7500 0.7500  4 Pa 3.11, 4 Pm 3.11

Formation energy without anion corrections in eV per atom: -0.13


# 2
Compound: PmPaAlTc
Source: Alexandria via LeMat-Bulk
Functional: PBE
Structure: relaxed

a b c (Å): 5.0163 5.0163 5.0163
angles (deg): 60.00 60.00 60.00
With the nearest neighbours (Å) after each atom.
Sites, in units of the cell vectors:
Pm 0.0000 0.0000 0.0000  4 Al 3.07, 4 Tc 3.07
Pa 0.5000 0.5000 0.5000  4 Tc 3.07, 4 Al 3.07
Al 0.7500 0.7500 0.7500  4 Pa 3.07, 4 Pm 3.07
Tc 0.2500 0.2500 0.2500  4 Pa 3.07, 4 Pm 3.07

Formation energy from the elements in eV/f.u.: 0.040


# 3
Compound: PmThPaAl
Source: Alexandria via LeMat-Bulk
Functional: PBE
Structure: relaxed

a b c (Å): 5.3427 5.3427 5.3427
angles (deg): 60.00 60.00 60.00
With the nearest neighbours (Å) after each atom.
Sites, in units of the cell vectors:
Pm 0.0000 0.0000 0.0000  4 Al 3.27, 4 Pa 3.27
Th 0.5000 0.5000 0.5000  4 Pa 3.27, 4 Al 3.27
Pa 0.7500 0.7500 0.7500  4 Th 3.27, 4 Pm 3.27
Al 0.2500 0.2500 0.2500  4 Th 3.27, 4 Pm 3.27

Formation energy from the elements in eV/f.u.: 0.662


# 4
Compound: PmPaAlTl
Source: Alexandria via LeMat-Bulk
Functional: PBE
Structure: relaxed

a b c (Å): 5.3125 5.3125 5.3125
angles (deg): 60.00 60.00 60.00
With the nearest neighbours (Å) after each atom.
Sites, in units of the cell vectors:
Pm 0.0000 0.0000 0.0000  4 Al 3.25, 4 Tl 3.25
Pa 0.5000 0.5000 0.5000  4 Al 3.25, 4 Tl 3.25
Al 0.7500 0.7500 0.7500  4 Pa 3.25, 4 Pm 3.25
Tl 0.2500 0.2500 0.2500  4 Pa 3.25, 4 Pm 3.25

Formation energy from the elements in eV/f.u.: 0.142


# 5
Compound: PrPaAl
Source: Alexandria via LeMat-Bulk
Functional: PBE
Structure: relaxed

a b c (Å): 7.6347 7.6347 4.9343
angles (deg): 90.00 90.00 120.00
With the nearest neighbours (Å) after each atom.
Sites, in units of the cell vectors:
Pr 0.0000 0.4302 0.0000  5 Al 3.28-3.35
Pr 0.4302 0.0000 0.0000  5 Al 3.28-3.35
Pr 0.5698 0.5698 0.0000  5 Al 3.28-3.35
Pa 0.0000 0.7896 0.5000  2 Pa 2.78, 2 Al 2.94
Pa 0.2104 0.2104 0.5000  2 Pa 2.78, 2 Al 2.94
Pa 0.7896 0.0000 0.5000  2 Pa 2.78, 2 Al 2.94
Al 0.0000 0.0000 0.0000  6 Pa 2.94, 3 Pr 3.28
Al 0.3333 0.6667 0.5000  3 Pa 3.12, 6 Pr 3.35
Al 0.6667 0.3333 0.5000  3 Pa 3.12, 6 Pr 3.35

Formation energy from the elements in eV/f.u.: -0.237
Polymorph energy (0 for the lowest one) in meV per atom: 0


# 6
Compound: PrPaAl
Source: Alexandria via LeMat-Bulk
Functional: PBE
Structure: relaxed

a b c (Å): 5.6760 5.6760 5.6760
angles (deg): 139.05 139.05 59.30
With the nearest neighbours (Å) after each atom.
Sites, in units of the cell vectors:
Pr 0.0000 0.0000 0.0000  1 Pa 3.03, 5 Al 3.22-3.37
Pa 0.6932 0.6932 0.0000  1 Pr 3.03, 4 Al 3.16
Al 0.3411 0.3411 0.0000  5 Pa 3.16-3.47, 5 Pr 3.22-3.37

Formation energy from the elements in eV/f.u.: 0.419
Polymorph energy (0 for the lowest one) in meV per atom: 219


Number 1 is which compound?
PmPaAlSi


Please write out number 6 again, unchanged.
Compound: PrPaAl
Source: Alexandria via LeMat-Bulk
Functional: PBE
Structure: relaxed

a b c (Å): 5.6760 5.6760 5.6760
angles (deg): 139.05 139.05 59.30
With the nearest neighbours (Å) after each atom.
Sites, in units of the cell vectors:
Pr 0.0000 0.0000 0.0000  1 Pa 3.03, 5 Al 3.22-3.37
Pa 0.6932 0.6932 0.0000  1 Pr 3.03, 4 Al 3.16
Al 0.3411 0.3411 0.0000  5 Pa 3.16-3.47, 5 Pr 3.22-3.37

Formation energy from the elements in eV/f.u.: 0.419
Polymorph energy (0 for the lowest one) in meV per atom: 219


Copy entry 6 word for word.
Compound: PrPaAl
Source: Alexandria via LeMat-Bulk
Functional: PBE
Structure: relaxed

a b c (Å): 5.6760 5.6760 5.6760
angles (deg): 139.05 139.05 59.30
With the nearest neighbours (Å) after each atom.
Sites, in units of the cell vectors:
Pr 0.0000 0.0000 0.0000  1 Pa 3.03, 5 Al 3.22-3.37
Pa 0.6932 0.6932 0.0000  1 Pr 3.03, 4 Al 3.16
Al 0.3411 0.3411 0.0000  5 Pa 3.16-3.47, 5 Pr 3.22-3.37

Formation energy from the elements in eV/f.u.: 0.419
Polymorph energy (0 for the lowest one) in meV per atom: 219